No. 1
This record from Alexandria describes a relaxed NpHRu crystal. The functional is PBE-GGA.

Unit cell a=5.1641 b=2.9169 c=2.9169 alpha=120.00 beta=90.00 gamma=90.00
Site moments in Bohr magnetons follow the coordinates.
Fractional coordinates of all 3 atoms:
Np  0.2982  0.6667  0.3333  3.24
Ru  0.7775  0.3333  0.6667  -0.16
H  0.9243  0.0000  0.0000  0.00

Results
The calculation puts the excess energy over the best structure of this formula in the dataset at 0.47 eV/f.u. As for the total magnetic moment: 1.07 μB per atom. As for the total energy: -8.42 eV per atom.

No. 2
This record from Alexandria describes a relaxed NpH9Ru2 crystal. The functional is PBE-GGA.

Unit cell a=4.9911 b=6.3133 c=6.3133 alpha=81.01 beta=66.72 gamma=66.72
Site moments in Bohr magnetons follow the coordinates.
Fractional coordinates of all 24 atoms:
Np  0.5000  0.0000  0.0000  3.61
Np  0.2500  0.5000  0.5000  3.61
H  0.7500  0.5000  0.5000  -0.01
H  0.0000  0.0000  0.0000  -0.01
H  0.0179  0.9193  0.6887  0.00
H  0.6259  0.0807  0.3113  0.00
H  0.6872  0.1887  0.5807  0.00
H  0.4566  0.8113  0.4193  0.00
H  0.7321  0.8113  0.5807  0.00
H  0.1241  0.1887  0.4193  0.00
H  0.0628  0.9193  0.3113  0.00
H  0.2934  0.0807  0.6887  0.00
H  0.7321  0.5807  0.8113  0.00
H  0.1241  0.4193  0.1887  0.00
H  0.0628  0.3113  0.9193  0.00
H  0.2934  0.6887  0.0807  0.00
H  0.0179  0.6887  0.9193  0.00
H  0.6259  0.3113  0.0807  0.00
H  0.6872  0.5807  0.1887  0.00
H  0.4566  0.4193  0.8113  0.00
Ru  0.8750  0.2500  0.7500  0.04
Ru  0.8750  0.7500  0.2500  0.04
Ru  0.8750  0.2500  0.2500  0.04
Ru  0.3750  0.7500  0.7500  0.04

Results
As for the total magnetic moment: 0.32 μB per atom. As for the total energy: -4.93 eV per atom.

No. 3
This record from Alexandria describes a relaxed Np2HRu6 crystal. The functional is PBE-GGA.

Unit cell a=5.6661 b=5.6661 c=7.9854 alpha=90.00 beta=90.00 gamma=90.00
Site moments in Bohr magnetons follow the coordinates.
Fractional coordinates of all 18 atoms:
Np  0.0001  0.4999  0.7501  1.43
Np  0.4999  0.9999  0.7499  1.43
Np  0.5001  0.0001  0.2501  1.43
Np  0.9999  0.5001  0.2499  1.43
H  0.5000  0.5000  0.0000  0.00
H  0.0000  0.0000  0.5000  0.00
Ru  0.0001  0.0000  0.2482  -0.28
Ru  0.7484  0.7485  0.5000  -0.28
Ru  0.7515  0.7516  0.0000  -0.28
Ru  0.7485  0.2516  0.5000  -0.28
Ru  0.7516  0.2485  0.0000  -0.28
Ru  0.4999  0.5000  0.2518  -0.28
Ru  0.9999  0.0000  0.7518  -0.28
Ru  0.2516  0.2515  0.5000  -0.28
Ru  0.2485  0.2484  0.0000  -0.28
Ru  0.2515  0.7484  0.5000  -0.28
Ru  0.2484  0.7515  0.0000  -0.28
Ru  0.5001  0.5000  0.7482  -0.28

Results
As for the total magnetic moment: 0.13 μB per atom. As for the total energy: -9.53 eV per atom.